(1)
4
Lattice="0.000 3.166 3.166 3.166 0.000 3.166 3.166 3.166 0.000" Properties=species:S:1:pos:R:3 comment="NaAlNiGe PBE optimized geometry" spacegroup="F-43m (216)" relative_energy_mev_per_atom=83 total_magnetization_mub_per_fu=0.0 pbc="T T T"
Na 0.000 0.000 0.000
Al 3.166 3.166 3.166
Ni 1.583 1.583 1.583
Ge 4.749 4.749 4.749



(2)
12
Lattice="8.867 -2.018 0.000 8.867 2.018 0.000 -3.247 0.000 9.565" Properties=species:S:1:pos:R:3 comment="TmSnPbSe3 PBE optimized geometry" spacegroup="C2/m (12)" relative_energy_mev_per_atom=20 total_magnetization_mub_per_fu=0.0 pbc="T T T"
Tm 2.874 0.000 0.846
Tm 11.613 0.000 8.719
Sn 6.080 0.000 7.436
Sn 8.407 0.000 2.129
Pb 0.667 0.000 4.733
Pb 13.821 0.000 4.831
Se 0.000 0.000 0.000
Se 3.098 0.000 6.720
Se 5.657 0.000 1.084
Se 7.244 0.000 4.782
Se 8.831 0.000 8.481
Se 11.390 0.000 2.845